Record 1
VASP calculation (PBE-GGA) on a relaxed structure of SrYIO6.

The calculation puts the uncorrected formation energy at -1.9090 eV/atom. The calculation puts the total magnetization at 0.0 μB/f.u.

It has space group P-31c (No. 163), with a = 5.6619 Å, b = 5.6619 Å, c = 10.2589 Å, α = 90.00°, β = 90.00° and γ = 120.00°. The asymmetric unit holds Sr at (0.0000, 0.0000, 0.0000), Y at (0.3333, 0.6667, 0.2500), I at (0.3333, 0.6667, 0.7500) and O at (0.0491, 0.3960, 0.6444).


Record 2
VASP calculation (PBE-GGA) on a relaxed structure of TiBiSe2.

The calculation puts the uncorrected formation energy at -0.6303 eV/atom. The calculation puts the total magnetization at 0.0 μB/f.u.

It has space group C2/c (No. 15), with a = 10.9700 Å, b = 12.3633 Å, c = 13.0827 Å, α = 90.00°, β = 93.45° and γ = 90.00°. The asymmetric unit holds Ti at (0.0543, 0.0083, 0.1516), Ti at (0.1598, 0.1690, 0.9172), Bi at (0.0135, 0.4787, 0.1381), Bi at (0.1915, 0.3311, 0.2839), Se at (0.0000, 0.1740, 0.7500), Se at (0.0000, 0.1836, 0.2500), Se at (0.0365, 0.1340, 0.5051), Se at (0.1860, 0.0155, 0.3303) and Se at (0.2274, 0.3697, 0.9155).


Record 3
VASP calculation (PBE-GGA) on a relaxed structure of BeCoSe2.

The calculation puts the uncorrected formation energy at 0.3926 eV/atom. The calculation puts the total magnetization at 0.0 μB/f.u.

It has space group P4/mmm (No. 123), with a = 4.3441 Å, b = 4.3441 Å, c = 3.0240 Å, α = 90.00°, β = 90.00° and γ = 90.00°. The asymmetric unit holds Be at (0.0000, 0.0000, 0.0000), Co at (0.5000, 0.5000, 0.0000) and Se at (0.0000, 0.5000, 0.5000).


Record 4
VASP calculation (PBE-GGA) on a relaxed structure of Tb3PmTh4As8.

The calculation puts the total magnetization at 0.0 μB/f.u. For the calculated formation energy, the calculation gives -23.59 eV per formula unit.

It has space group R-3m (No. 166, hexagonal axes), with a = 8.4412 Å, b = 8.4412 Å, c = 20.5225 Å, α = 90.00°, β = 90.00° and γ = 120.00°. The asymmetric unit holds Tb at (0.0000, 0.5000, 0.0000), Pm at (0.0000, 0.0000, 0.0000), Th at (0.0000, 0.0000, 0.5000), Th at (0.0000, 0.5000, 0.5000), As at (0.0000, 0.0000, 0.2520) and As at (0.0026, 0.5013, 0.2513).


Record 5
VASP calculation (PBE-GGA) on a relaxed structure of CrPd12Pt3.

The calculation puts the total magnetization at 1.7 μB/f.u. For the calculated formation energy, the calculation gives -0.63 eV per formula unit.

It has space group P4/mmm (No. 123), with a = 3.9421 Å, b = 3.9421 Å, c = 15.8048 Å, α = 90.00°, β = 90.00° and γ = 90.00°. The asymmetric unit holds Cr at (0.0000, 0.0000, 0.0000), Pd at (0.0000, 0.5000, 0.1209), Pd at (0.0000, 0.5000, 0.3744), Pd at (0.5000, 0.5000, 0.0000), Pd at (0.5000, 0.5000, 0.2472), Pd at (0.5000, 0.5000, 0.5000), Pt at (0.0000, 0.0000, 0.2492) and Pt at (0.0000, 0.0000, 0.5000).


Record 6
VASP calculation (PBE-GGA) on a relaxed structure of La3Sm3Tl2.

Its energy above the lowest structure with this stoichiometry is 0 meV per atom. The calculation puts the total magnetization at 0.0 μB/f.u. For the calculated formation energy, the calculation gives -1.71 eV per formula unit.

It has space group Pmmm (No. 47), with a = 4.9931 Å, b = 5.0801 Å, c = 9.8751 Å, α = 90.00°, β = 90.00° and γ = 90.00°. The asymmetric unit holds La at (0.0000, 0.0000, 0.0000), La at (0.5000, 0.0000, 0.2483), Sm at (0.0000, 0.0000, 0.5000), Sm at (0.5000, 0.5000, 0.0000), Sm at (0.5000, 0.5000, 0.5000) and Tl at (0.0000, 0.5000, 0.2541).


Record 7
VASP calculation (PBE-GGA) on a relaxed structure of CsUIn2O8.

The calculation puts the uncorrected formation energy at -1.7641 eV/atom. The calculation puts the total magnetization at 1.0 μB/f.u.

It has space group P-1 (No. 2), with a = 5.0716 Å, b = 5.0932 Å, c = 8.4045 Å, α = 88.17°, β = 89.42° and γ = 86.29°. The asymmetric unit holds Cs at (0.0000, 0.0000, 0.0000), U at (0.0000, 0.0000, 0.5000), In at (0.4934, 0.4917, 0.6792), O at (0.1956, 0.7930, 0.6871), O at (0.2007, 0.8070, 0.3186), O at (0.2930, 0.2910, 0.4990) and O at (0.4842, 0.3989, 0.9517).


Record 8
VASP calculation (PBE-GGA) on a relaxed structure of Ac3CdHg.

Its energy above the lowest structure with this stoichiometry is 123 meV per atom. The calculation puts the total magnetization at 0.0 μB/f.u. For the calculated formation energy, the calculation gives -0.87 eV per formula unit.

It has space group C2/c (No. 15), with a = 10.7243 Å, b = 8.4427 Å, c = 16.9815 Å, α = 90.00°, β = 106.24° and γ = 90.00°. The asymmetric unit holds Ac at (0.0703, 0.2339, 0.1556), Ac at (0.1686, 0.2615, 0.6381), Ac at (0.1714, 0.4424, 0.9589), Cd at (0.1256, 0.0931, 0.8244), Hg at (0.0000, 0.0000, 0.0000) and Hg at (0.0000, 0.4448, 0.7500).


Record 9
VASP calculation (PBE-GGA) on a relaxed structure of GaCu6Au3.

Its energy above the lowest structure with this stoichiometry is 0 meV per atom. The calculation puts the total magnetization at 0.0 μB/f.u. For the calculated formation energy, the calculation gives -0.46 eV per formula unit.

It has space group P2_1/m (No. 11), with a = 8.3486 Å, b = 3.9157 Å, c = 8.7473 Å, α = 90.00°, β = 94.11° and γ = 90.00°. The asymmetric unit holds Ga at (0.0568, 0.2500, 0.3868), Cu at (0.0459, 0.7500, 0.8972), Cu at (0.1318, 0.2500, 0.6900), Cu at (0.1493, 0.7500, 0.1988), Cu at (0.2304, 0.7500, 0.4936), Cu at (0.3418, 0.2500, 0.3012), Cu at (0.4465, 0.7500, 0.1028), Au at (0.2441, 0.2500, 0.0065), Au at (0.3452, 0.7500, 0.7990) and Au at (0.4467, 0.2500, 0.5986).


Record 10
VASP calculation (PBE-GGA) on a relaxed structure of Ce2AsSe5.

The calculation puts the uncorrected formation energy at -1.2227 eV/atom. The calculation puts the total magnetization at 1.1 μB/f.u.

It has space group Pbam (No. 55), with a = 7.9977 Å, b = 11.4860 Å, c = 4.1612 Å, α = 90.00°, β = 90.00° and γ = 90.00°. The asymmetric unit holds Ce at (0.0769, 0.1718, 0.0000), As at (0.0000, 0.5000, 0.5000), Se at (0.0000, 0.0000, 0.5000), Se at (0.1458, 0.7064, 0.5000) and Se at (0.1911, 0.4289, 0.0000).


Record 11
VASP calculation (PBE-GGA) on a relaxed structure of Pa3TlCd4O12.

The calculation puts the uncorrected formation energy at -2.2741 eV/atom. The calculation puts the total magnetization at 0.0 μB/f.u.

It has space group R32 (No. 155, hexagonal axes), with a = 12.5318 Å, b = 12.5318 Å, c = 8.0445 Å, α = 90.00°, β = 90.00° and γ = 120.00°. The asymmetric unit holds Pa at (0.0000, 0.5545, 0.0000), Tl at (0.0000, 0.0000, 0.0000), Cd at (0.0000, 0.0000, 0.5000), Cd at (0.0000, 0.4464, 0.5000), O at (0.0000, 0.6182, 0.5000), O at (0.0000, 0.8310, 0.5000) and O at (0.0683, 0.2407, 0.1768).


Record 12
VASP calculation (PBE-GGA) on a relaxed structure of OsCN2F.

Its energy above the lowest structure with this stoichiometry is 0 meV per atom. The calculation puts the uncorrected formation energy at 1.6699 eV/atom. The calculation puts the total magnetization at 1.1 μB/f.u.

It has space group P4/mmm (No. 123), with a = 3.8193 Å, b = 3.8193 Å, c = 4.0945 Å, α = 90.00°, β = 90.00° and γ = 90.00°. The asymmetric unit holds Os at (0.0000, 0.0000, 0.0000), C at (0.5000, 0.5000, 0.5000), N at (0.0000, 0.5000, 0.0000) and F at (0.0000, 0.0000, 0.5000).


Record 13
VASP calculation (PBE-GGA) on a relaxed structure of SnGeAsAu.

The calculation puts the total magnetization at 0.0 μB/f.u. For the calculated formation energy, the calculation gives -0.09 eV per formula unit.

It has space group Cm (No. 8), with a = 6.8505 Å, b = 3.8597 Å, c = 8.3295 Å, α = 90.00°, β = 105.07° and γ = 90.00°. The asymmetric unit holds Sn at (0.0000, 0.0000, 0.0000), Ge at (0.0066, 0.5000, 0.4950), As at (0.1300, 0.0000, 0.3511) and Au at (0.1097, 0.5000, 0.8067).


Record 14
VASP calculation (PBE-GGA) on a relaxed structure of SrReW.

Its energy above the lowest structure with this stoichiometry is 270 meV per atom. The calculation puts the total magnetization at 0.0 μB/f.u. For the calculated formation energy, the calculation gives 2.87 eV per formula unit.

It has space group Fmm2 (No. 42), with a = 3.2915 Å, b = 4.8162 Å, c = 15.1273 Å, α = 90.00°, β = 90.00° and γ = 90.00°. The asymmetric unit holds Sr at (0.0000, 0.0000, 0.0000), Re at (0.0000, 0.0000, 0.6808) and W at (0.0000, 0.0000, 0.3095).


Record 15
VASP calculation (PBE-GGA) on a relaxed structure of Ta3BrN.

Its energy above the lowest structure with this stoichiometry is 0 meV per atom. The calculation puts the uncorrected formation energy at 0.2915 eV/atom. The calculation puts the total magnetization at 0.0 μB/f.u.

It has space group Pm-3m (No. 221), with a = 4.3168 Å, b = 4.3168 Å, c = 4.3168 Å, α = 90.00°, β = 90.00° and γ = 90.00°. The asymmetric unit holds Ta at (0.0000, 0.0000, 0.5000), Br at (0.5000, 0.5000, 0.5000) and N at (0.0000, 0.0000, 0.0000).


Record 16
VASP calculation (PBE-GGA) on a relaxed structure of Na3LiU3Te8.

The calculation puts the uncorrected formation energy at -0.7596 eV/atom. The calculation puts the total magnetization at 6.0 μB/f.u.

It has space group R-3m (No. 166, hexagonal axes), with a = 8.7747 Å, b = 8.7747 Å, c = 22.6081 Å, α = 90.00°, β = 90.00° and γ = 120.00°. The asymmetric unit holds Na at (0.0000, 0.5000, 0.0000), Li at (0.0000, 0.0000, 0.5000), U at (0.0000, 0.5000, 0.5000), Te at (0.0000, 0.0000, 0.2459) and Te at (0.0071, 0.5036, 0.7579).


Record 17
VASP calculation (PBE-GGA) on a relaxed structure of TaSeBr2.

Its energy above the lowest structure with this stoichiometry is 1346 meV per atom. The calculation puts the uncorrected formation energy at 0.6688 eV/atom. The calculation puts the total magnetization at 0.5 μB/f.u.

It has space group Pmmm (No. 47), with a = 3.2499 Å, b = 4.8249 Å, c = 5.3263 Å, α = 90.00°, β = 90.00° and γ = 90.00°. The asymmetric unit holds Ta at (0.0000, 0.0000, 0.0000), Se at (0.5000, 0.0000, 0.5000), Br at (0.0000, 0.5000, 0.5000) and Br at (0.5000, 0.5000, 0.0000).


Record 18
VASP calculation (PBE-GGA) on a relaxed structure of Zr4TlCo2.

The calculation puts the total magnetization at 0.0 μB/f.u. For the calculated formation energy, the calculation gives -0.34 eV per formula unit.

It has space group R-3m (No. 166, hexagonal axes), with a = 3.9385 Å, b = 3.9385 Å, c = 33.2080 Å, α = 90.00°, β = 90.00° and γ = 120.00°. The asymmetric unit holds Zr at (0.0000, 0.0000, 0.1021), Zr at (0.0000, 0.0000, 0.3007), Tl at (0.0000, 0.0000, 0.5000) and Co at (0.0000, 0.0000, 0.3998).


Record 19
VASP calculation (PBE-GGA) on a relaxed structure of Tc3Ru.

Its energy above the lowest structure with this stoichiometry is 94 meV per atom. The calculation puts the total magnetization at 0.0 μB/f.u. For the calculated formation energy, the calculation gives 0.20 eV per formula unit.

It has space group I4/mmm (No. 139), with a = 3.8627 Å, b = 3.8627 Å, c = 7.7370 Å, α = 90.00°, β = 90.00° and γ = 90.00°. The asymmetric unit holds Tc at (0.0000, 0.0000, 0.0000), Tc at (0.0000, 0.5000, 0.2500) and Ru at (0.0000, 0.0000, 0.5000).


Record 20
VASP calculation (PBE-GGA) on a relaxed structure of BaSnAs2S8.

The calculation puts the uncorrected formation energy at -0.4026 eV/atom. The calculation puts the total magnetization at 0.0 μB/f.u.

It has space group P-3 (No. 147), with a = 6.1744 Å, b = 6.1744 Å, c = 9.1755 Å, α = 90.00°, β = 90.00° and γ = 120.00°. The asymmetric unit holds Ba at (0.0000, 0.0000, 0.0000), Sn at (0.0000, 0.0000, 0.5000), As at (0.3333, 0.6667, 0.7424), S at (0.0160, 0.6832, 0.3196) and S at (0.3333, 0.6667, 0.9750).


Record 21
VASP calculation (PBE-GGA) on a relaxed structure of Y2ZnAsW.

The calculation puts the total magnetization at 1.8 μB/f.u. For the calculated formation energy, the calculation gives 3.04 eV per formula unit.

It has space group P4/mmm (No. 123), with a = 5.2530 Å, b = 5.2530 Å, c = 4.6907 Å, α = 90.00°, β = 90.00° and γ = 90.00°. The asymmetric unit holds Y at (0.0000, 0.5000, 0.0000), Zn at (0.0000, 0.0000, 0.0000), As at (0.5000, 0.5000, 0.5000) and W at (0.0000, 0.0000, 0.5000).